No. 1
This record from Alexandria via LeMat-Bulk describes a relaxed Er5TlOs2 crystal. The functional is PBE.

The value obtained for the energy is -6.296 eV per atom. Its formation energy is -0.34 eV per atom.

It has space group I4/mcm (No. 140), with a = 7.670 Å, b = 7.670 Å, c = 13.624 Å, α = 90.00°, β = 90.00° and γ = 90.00°. The inequivalent atoms are Er at (0.000, 0.000, 0.000), Er at (0.160, 0.340, 0.131), Tl at (0.000, 0.000, 0.250) and Os at (0.139, 0.361, 0.500).

=====

No. 2
This record from Alexandria via LeMat-Bulk describes a relaxed TmIn2Cu crystal. The functional is PBE.

The value obtained for the energy is -3.675 eV per atom. Its formation energy is -0.16 eV per atom.

It has space group P4/mmm (No. 123), with a = 3.341 Å, b = 3.341 Å, c = 7.645 Å, α = 90.00°, β = 90.00° and γ = 90.00°. The inequivalent atoms are Tm at (0.000, 0.000, 0.000), In at (0.500, 0.500, 0.291) and Cu at (0.000, 0.000, 0.500).

=====

No. 3
This record from Alexandria via LeMat-Bulk describes a relaxed AlInRh crystal. The functional is PBE.

The value obtained for the energy is -5.078 eV per atom. Its formation energy is -0.47 eV per atom.

It has space group R-3m (No. 166, hexagonal axes), with a = 4.3064 Å, b = 4.3064 Å, c = 21.5431 Å, α = 90.00°, β = 90.00° and γ = 120.00°. The inequivalent atoms are Al at (0.0000, 0.0000, 0.1258), In at (0.0000, 0.0000, 0.3752) and Rh at (0.0000, 0.0000, 0.2403).

=====

No. 4
This record from Alexandria via LeMat-Bulk describes a relaxed TlW2Au crystal. The functional is PBE.

As for the energy above the most stable polymorph in this dataset: 20.9 kJ per mole of atoms. The value obtained for the energy is -7.162 eV per atom. Its formation energy is 0.73 eV per atom.

It has space group C2/m (No. 12), with a = 9.817 Å, b = 3.206 Å, c = 4.735 Å, α = 90.00°, β = 103.10° and γ = 90.00°. The inequivalent atoms are Tl at (0.000, 0.000, 0.000), W at (0.246, 0.000, 0.728) and Au at (0.000, 0.500, 0.500).

=====

No. 5
This record from Alexandria via LeMat-Bulk describes a relaxed Ba6CuPd2I3 crystal. The functional is PBE.

For the raw formation energy, the calculation gives -883 meV/atom. The value obtained for the energy is -3.438 eV per atom.

It has space group C2/m (No. 12), with a = 8.084 Å, b = 14.005 Å, c = 9.229 Å, α = 90.00°, β = 106.99° and γ = 90.00°. The inequivalent atoms are Ba at (0.229, 0.000, 0.204), Ba at (0.238, 0.330, 0.205), Cu at (0.000, 0.500, 0.000), Pd at (0.000, 0.167, 0.000), I at (0.000, 0.000, 0.500) and I at (0.000, 0.334, 0.500).

=====

No. 6
This record from Alexandria via LeMat-Bulk describes a relaxed La2BRh2 crystal. The functional is PBE.

As for the energy above the most stable polymorph in this dataset: 0.0 kJ per mole of atoms. The value obtained for the energy is -6.615 eV per atom. Its formation energy is -0.37 eV per atom.

It has space group I4/mmm (No. 139), with a = 5.654 Å, b = 5.654 Å, c = 7.047 Å, α = 90.00°, β = 90.00° and γ = 90.00°. The inequivalent atoms are La at (0.000, 0.500, 0.250), B at (0.000, 0.000, 0.000) and Rh at (0.000, 0.000, 0.288).